(1)
VASP calculation (SCAN) on a crystal of FeCoH3 relaxed with PBEsol.

Geometry as extended XYZ:
```
5
Lattice="3.1225 0.0000 0.0000 0.0000 3.1225 0.0000 0.0000 0.0000 3.1225" Properties=species:S:1:pos:R:3 pbc="T T T"
Fe 1.5613 1.5613 1.5613
H 0.0000 1.5613 0.0000
H 1.5613 0.0000 0.0000
H 0.0000 0.0000 1.5613
Co 0.0000 0.0000 0.0000
```

As for the symmetry: Pm-3m. As for the total magnetization: 3.29 μB/cell. The density is 6.43 Mg/m³. The density of states at the Fermi level comes out at 2.2 states/eV/cell.



(2)
VASP calculation (SCAN) on a crystal of Fe2CoH2 relaxed with PBEsol.

Geometry as extended XYZ:
```
5
Lattice="-2.2937 -0.1688 1.2937 -0.7963 -1.8917 -1.6585 3.6346 -2.6739 3.4040" Properties=species:S:1:pos:R:3 pbc="T T T"
Fe 1.4738 -2.6125 2.2722
Fe -0.9291 -2.1218 0.7670
Co 0.0000 0.0000 0.0000
H -0.1020 -1.9365 2.2577
H 0.6467 -2.7979 0.7816
```

As for the symmetry: I4/mmm. As for the total magnetization: 6.39 μB/cell. The density is 7.72 Mg/m³. The density of states at the Fermi level comes out at 2.1 states/eV/cell.



The raw total energy results, record by record, are as follows: -8.97, -12.02 eV/atom.